1.
# CaYC3 | the Alexandria database | meta-GGA SCAN | single point on PBEsol structure
data_CaYC3
_chemical_formula_sum 'Ca1 Y1 C3'
_symmetry_space_group_name_H-M 'P m -3 m'
_symmetry_Int_Tables_number 221
_symmetry_space_group_name_Hall '-P 4 2 3'
_cell_length_a 4.427
_cell_length_b 4.427
_cell_length_c 4.427
_cell_angle_alpha 90.00
_cell_angle_beta 90.00
_cell_angle_gamma 90.00
loop_
_atom_site_label
_atom_site_type_symbol
_atom_site_fract_x
_atom_site_fract_y
_atom_site_fract_z
Ca1 Ca 0.000 0.000 0.000
Y1 Y 0.500 0.500 0.500
C1 C 0.000 0.500 0.500
# Formation energy in eV/atom: 1.810

2.
# AlRh2Au | the Alexandria database | meta-GGA SCAN | single point on PBEsol structure
data_AlRh2Au
_chemical_formula_sum 'Al1 Rh2 Au1'
_symmetry_space_group_name_H-M 'P 4 m m'
_symmetry_Int_Tables_number 99
_cell_length_a 2.813
_cell_length_b 2.813
_cell_length_c 7.253
_cell_angle_alpha 90.00
_cell_angle_beta 90.00
_cell_angle_gamma 90.00
loop_
_symmetry_equiv_pos_as_xyz
'x,y,z'
'-y,x,z'
'-x,-y,z'
'y,-x,z'
'-x,y,z'
'y,x,z'
'x,-y,z'
'-y,-x,z'
loop_
_atom_site_label
_atom_site_type_symbol
_atom_site_fract_x
_atom_site_fract_y
_atom_site_fract_z
Al1 Al 0.000 0.000 0.000
Rh1 Rh 0.000 0.000 0.534
Rh2 Rh 0.500 0.500 0.783
Au1 Au 0.500 0.500 0.258
# Formation energy in eV/atom: -0.400

| no. | calculated density (g/cm3) |
| --- | --- |
| 1 | 3.2 |
| 2 | 12.4 |